The following is a PBE-GGA calculation of crystalline LaMoAu2 at its relaxed geometry, from Alexandria via LeMat-Bulk.

a b c (Å): 4.9540 4.9540 4.9540
angles (deg): 60.00 60.00 60.00
With the nearest neighbours (Å) after each atom.
Atoms (fractional coordinates):
1 Au 0.0000 0.0000 0.0000  4 Mo 3.03, 4 Au 3.03
2 Au 0.2500 0.2500 0.2500  4 Au 3.03, 4 La 3.03
3 La 0.5000 0.5000 0.5000  4 Au 3.03, 4 Mo 3.03
4 Mo 0.7500 0.7500 0.7500  4 La 3.03, 4 Au 3.03

Computed properties:
formation energy from the elements	173	meV/atom
polymorph energy (0 for the lowest one)	149	meV/atom
total energy	-21.620	eV/cell